No. 1
## Be2IrPt (GGA-PBE)

Data for an optimized crystal structure of Be2IrPt.

a = 3.7187 Å, b = 2.8875 Å, c = 8.4524 Å
α = 90.00°, β = 90.00°, γ = 90.00°
With the nearest neighbours (Å) after each atom.
Space group Amm2 (No. 38)
Symmetry-distinct sites (fractional):
Be (0.0000, 0.0000, 0.0000) [2 per cell]  2 Be 2.32, 3 Ir 2.34-2.38, 4 Pt 2.41
Be (0.5000, 0.0000, 0.1645) [2 per cell]  2 Be 2.32, 3 Pt 2.34-2.38, 4 Ir 2.40
Ir (0.0000, 0.0000, 0.7185) [2 per cell]  7 Be 2.34-2.40
Pt (0.5000, 0.0000, 0.4409) [2 per cell]  7 Be 2.34-2.41

## Properties
E_form (eV/atom): -0.589
Relative energy among the computed polymorphs (eV per atom): 0.125
Calculated density (Mg/m³): 14.8

***

No. 2
## ScNb2SnC (GGA-PBE)

Data for an optimized crystal structure of ScNb2SnC.

a = 4.3310 Å, b = 4.3310 Å, c = 4.6001 Å
α = 90.00°, β = 90.00°, γ = 90.00°
With the nearest neighbours (Å) after each atom.
Space group P4/mmm (No. 123)
Symmetry-distinct sites (fractional):
Sc (0.0000, 0.0000, 0.0000) [1 per cell]  2 C 2.30
Nb (0.0000, 0.5000, 0.5000) [2 per cell]  2 C 2.17
Sn (0.5000, 0.5000, 0.0000) [1 per cell]  4 Sc 3.06, 8 Nb 3.16
C (0.0000, 0.0000, 0.5000) [1 per cell]  4 Nb 2.17, 2 Sc 2.30

## Properties
E_form (eV/atom): -0.351
Relative energy among the computed polymorphs (eV per atom): 0.000
Calculated density (Mg/m³): 7.0

***

No. 3
## LiBe2AlZn (GGA-PBE)

Data for an optimized crystal structure of LiBe2AlZn.

a = 4.3837 Å, b = 4.3837 Å, c = 4.8630 Å
α = 90.00°, β = 90.00°, γ = 90.00°
With the nearest neighbours (Å) after each atom.
Space group P4/mmm (No. 123)
Symmetry-distinct sites (fractional):
Li (0.0000, 0.0000, 0.0000) [1 per cell]  4 Zn 3.10, 8 Be 3.27
Be (0.0000, 0.5000, 0.5000) [2 per cell]  2 Al 2.19
Al (0.5000, 0.5000, 0.5000) [1 per cell]  4 Be 2.19, 2 Zn 2.43
Zn (0.5000, 0.5000, 0.0000) [1 per cell]  2 Al 2.43

## Properties
E_form (eV/atom): 0.711
Calculated density (Mg/m³): 2.1

***

No. 4
## LiDy4In5 (GGA-PBE)

Data for an optimized crystal structure of LiDy4In5.

a = 3.5270 Å, b = 3.5270 Å, c = 20.1323 Å
α = 90.00°, β = 90.00°, γ = 90.00°
With the nearest neighbours (Å) after each atom.
Space group P4/mmm (No. 123)
Symmetry-distinct sites (fractional):
Li (0.0000, 0.0000, 0.0000) [1 per cell]  8 In 2.95
Dy (0.0000, 0.0000, 0.1825) [2 per cell]  8 In 3.26-3.28, 4 Dy 3.53
Dy (0.0000, 0.0000, 0.3937) [2 per cell]  8 In 3.28-3.29, 4 Dy 3.53
In (0.5000, 0.5000, 0.0781) [2 per cell]  4 Li 2.95, 1 In 3.14, 4 Dy 3.26
In (0.5000, 0.5000, 0.2881) [2 per cell]  8 Dy 3.28, 4 In 3.53
In (0.5000, 0.5000, 0.5000) [1 per cell]  8 Dy 3.29, 4 In 3.53

## Properties
E_form (eV/atom): -0.443
Calculated density (Mg/m³): 8.2

***

No. 5
## LiErZrFe (GGA-PBE)

Data for an optimized crystal structure of LiErZrFe.

a = 6.6053 Å, b = 6.6053 Å, c = 6.6053 Å
α = 90.00°, β = 90.00°, γ = 90.00°
With the nearest neighbours (Å) after each atom.
Space group F-43m (No. 216)
Symmetry-distinct sites (fractional):
Li (0.0000, 0.0000, 0.0000) [4 per cell]  4 Zr 2.86, 4 Er 2.86
Er (0.2500, 0.2500, 0.7500) [4 per cell]  4 Fe 2.86, 4 Li 2.86
Zr (0.2500, 0.2500, 0.2500) [4 per cell]  4 Fe 2.86, 4 Li 2.86
Fe (0.0000, 0.0000, 0.5000) [4 per cell]  4 Er 2.86, 4 Zr 2.86

## Properties
E_form (eV/atom): 0.035
Calculated density (Mg/m³): 7.4

***

No. 6
## NbSiAg3 (GGA-PBE)

Data for an optimized crystal structure of NbSiAg3.

a = 4.7149 Å, b = 4.7149 Å, c = 4.7149 Å
α = 90.00°, β = 90.00°, γ = 90.00°
With the nearest neighbours (Å) after each atom.
Space group Pm-3m (No. 221)
Symmetry-distinct sites (fractional):
Nb (0.0000, 0.0000, 0.0000) [1 per cell]  12 Ag 3.33
Si (0.5000, 0.5000, 0.5000) [1 per cell]  6 Ag 2.36
Ag (0.0000, 0.5000, 0.5000) [3 per cell]  2 Si 2.36

## Properties
E_form (uncorrected) (eV/atom): 0.87
Relative energy among the computed polymorphs (eV per atom): 0.000
Calculated density (Mg/m³): 7.0

***

No. 7
## BaZrP2 (GGA-PBE)

Data for an optimized crystal structure of BaZrP2.

a = 4.1661 Å, b = 4.1661 Å, c = 11.1322 Å
α = 90.00°, β = 90.00°, γ = 90.00°
With the nearest neighbours (Å) after each atom.
Space group I-4m2 (No. 119)
Symmetry-distinct sites (fractional):
Ba (0.0000, 0.0000, 0.0000) [2 per cell]  4 P 2.95
Zr (0.0000, 0.5000, 0.2500) [2 per cell]  4 P 2.95
P (0.0000, 0.0000, 0.5000) [2 per cell]  4 Ba 2.95
P (0.0000, 0.5000, 0.7500) [2 per cell]  4 Zr 2.95

## Properties
E_form (eV/atom): -0.150
Relative energy among the computed polymorphs (eV per atom): 0.967
Calculated density (Mg/m³): 5.0

***

No. 8
## Pr8Si3GeCl4 (GGA-PBE)

Data for an optimized crystal structure of Pr8Si3GeCl4.

a = 8.5812 Å, b = 8.5812 Å, c = 21.0037 Å
α = 90.00°, β = 90.00°, γ = 120.00°
With the nearest neighbours (Å) after each atom.
Space group R-3m (No. 166, hexagonal axes)
Symmetry-distinct sites (fractional):
Pr (0.0000, 0.0000, 0.2419) [6 per cell]  3 Si 2.94, 3 Cl 3.13
Pr (0.0025, 0.5012, 0.7579) [18 per cell]  2 Si 2.93, 1 Ge 2.96, 3 Cl 3.12-3.14
Si (0.0000, 0.5000, 0.5000) [9 per cell]  6 Pr 2.93-2.94
Ge (0.0000, 0.0000, 0.5000) [3 per cell]  6 Pr 2.96
Cl (0.0000, 0.0000, 0.0000) [3 per cell]  6 Pr 3.12
Cl (0.0000, 0.5000, 0.0000) [9 per cell]  6 Pr 3.13-3.14

## Properties
E_form (uncorrected) (eV/atom): -1.21
Calculated density (Mg/m³): 5.3

***

No. 9
## Cs2SiI (GGA-PBE)

Data for an optimized crystal structure of Cs2SiI.

a = 9.2795 Å, b = 9.2795 Å, c = 9.2795 Å
α = 90.00°, β = 90.00°, γ = 90.00°
With the nearest neighbours (Å) after each atom.
Space group Fm-3m (No. 225)
Symmetry-distinct sites (fractional):
Cs (0.2500, 0.2500, 0.2500) [8 per cell]  4 I 4.02, 4 Si 4.02
Si (0.0000, 0.0000, 0.0000) [4 per cell]  8 Cs 4.02
I (0.0000, 0.0000, 0.5000) [4 per cell]  8 Cs 4.02

## Properties
E_form (uncorrected) (eV/atom): -0.24
Relative energy among the computed polymorphs (eV per atom): 0.000
Calculated density (Mg/m³): 3.5

***

No. 10
## Fe2CuSbSe (GGA-PBE)

Data for an optimized crystal structure of Fe2CuSbSe.

a = 4.3826 Å, b = 4.3826 Å, c = 5.6819 Å
α = 90.00°, β = 90.00°, γ = 90.00°
With the nearest neighbours (Å) after each atom.
Space group P4/mmm (No. 123)
Symmetry-distinct sites (fractional):
Fe (0.0000, 0.5000, 0.0000) [2 per cell]  2 Se 2.19
Cu (0.0000, 0.0000, 0.5000) [1 per cell]  4 Sb 3.10
Sb (0.5000, 0.5000, 0.5000) [1 per cell]  2 Se 2.84, 4 Cu 3.10
Se (0.5000, 0.5000, 0.0000) [1 per cell]  4 Fe 2.19

## Properties
E_form (uncorrected) (eV/atom): 0.91
Calculated density (Mg/m³): 5.7

***

No. 11
## Ba6Pd2N (GGA-PBE)

Data for an optimized crystal structure of Ba6Pd2N.

a = 15.6433 Å, b = 4.4415 Å, c = 12.9690 Å
α = 90.00°, β = 116.42°, γ = 90.00°
With the nearest neighbours (Å) after each atom.
Space group C2/m (No. 12)
Symmetry-distinct sites (fractional):
Ba (0.0004, 0.0000, 0.2046) [4 per cell]  1 N 2.65
Ba (0.1600, 0.5000, 0.5484) [4 per cell]  3 Pd 3.21-3.24
Ba (0.1789, 0.0000, 0.1088) [4 per cell]  1 N 2.51
Pd (0.1788, 0.5000, 0.3120) [4 per cell]  7 Ba 3.21-3.45
N (0.0000, 0.0000, 0.0000) [2 per cell]  4 Ba 2.51-2.65

## Properties
E_form (uncorrected) (eV/atom): -0.28
Relative energy among the computed polymorphs (eV per atom): 0.095
Calculated density (Mg/m³): 4.3

***

No. 12
## Sm6Bi3C (GGA-PBE)

Data for an optimized crystal structure of Sm6Bi3C.

a = 6.7378 Å, b = 8.3505 Å, c = 12.4931 Å
α = 90.00°, β = 121.25°, γ = 90.00°
With the nearest neighbours (Å) after each atom.
Space group P2_1/c (No. 14)
Symmetry-distinct sites (fractional):
Sm (0.0918, 0.0425, 0.2241) [4 per cell]  1 C 2.56
Sm (0.1819, 0.7232, 0.0542) [4 per cell]  1 C 2.54
Sm (0.3741, 0.1510, 0.0490) [4 per cell]  1 C 2.59
Bi (0.3182, 0.1084, 0.7437) [4 per cell]  6 Sm 3.18-3.44
Bi (0.5000, 0.0000, 0.5000) [2 per cell]  6 Sm 3.12-3.18
C (0.0000, 0.0000, 0.0000) [2 per cell]  6 Sm 2.54-2.59

## Properties
E_form (eV/atom): -0.554
Calculated density (Mg/m³): 8.5

***

no.,E_tot (Ha/atom),magnetization (μB per cell)
1,-0.2270,0.0
2,-0.3047,0.0
3,-0.0796,0.0
4,-0.1413,0.0
5,-0.2145,0.0
6,-0.1448,3.1
7,-0.2011,0.0
8,-0.1971,0.0
9,-0.0886,12.0
10,-0.1770,5.3
11,-0.1337,0.0
12,-0.2011,0.0